# 1
MnAlSi2: optimized geometry, PBE-GGA.

Structure (POSCAR):
```
MnAlSi2
1.0
3.5553 0.0000 0.0000
0.0000 4.0898 0.0000
0.0000 0.0000 3.7095
Mn Si Al
1 2 1
Direct
0.0000 0.5000 0.5000
0.0000 0.0000 0.0000
0.5000 0.5000 0.0000
0.5000 0.0000 0.5000
```

Summary:
Symmetry = Pmmm (47)
Density of states at the Fermi level = 0.66 states/eV per atom
Uncorrected energy = -5.8297 eV per atom
Crystal system = orthorhombic

# 2
MnAl2Si: optimized geometry, PBE-GGA.

Structure (POSCAR):
```
MnAl2Si
1.0
-3.5825 -3.0463 -0.6248
-1.2139 -2.1945 4.0268
0.6672 4.5483 -1.1716
Al Mn Si
2 1 1
Direct
0.5000 0.5000 0.0000
0.0000 0.0000 0.0000
0.7500 0.2500 0.5000
0.2500 0.7500 0.5000
```

Summary:
Symmetry = I4/mmm (139)
Density of states at the Fermi level = 0.41 states/eV per atom
Uncorrected energy = -5.6249 eV per atom
Crystal system = tetragonal

# 3
MnAl2Si: optimized geometry, PBE-GGA.

Structure (POSCAR):
```
MnAl2Si
1.0
-1.7976 2.5915 3.5338
-3.9247 1.6128 2.1049
-0.4166 -3.3677 2.9271
Mn Al Si
1 2 1
Direct
0.7500 0.7500 0.7500
0.4921 0.4921 0.5068
0.0079 0.0079 0.9932
0.2500 0.2500 0.2500
```

Summary:
Symmetry = C2/m (12)
Density of states at the Fermi level = 0.59 states/eV per atom
Uncorrected energy = -5.5600 eV per atom
Crystal system = monoclinic

What did the second record say?
MnAl2Si: optimized geometry, PBE-GGA.

Structure (POSCAR):
```
MnAl2Si
1.0
-3.5825 -3.0463 -0.6248
-1.2139 -2.1945 4.0268
0.6672 4.5483 -1.1716
Al Mn Si
2 1 1
Direct
0.5000 0.5000 0.0000
0.0000 0.0000 0.0000
0.7500 0.2500 0.5000
0.2500 0.7500 0.5000
```

Summary:
Symmetry = I4/mmm (139)
Density of states at the Fermi level = 0.41 states/eV per atom
Uncorrected energy = -5.6249 eV per atom
Crystal system = tetragonal

> Among the records above, which one has the highest density of states at the Fermi level?

MnAlSi2

> Among the records above, which one has the lowest uncorrected energy?

MnAlSi2

> Which value of uncorrected energy does entry 2 give?

-5.6249 eV per atom